Record 1
This record from Alexandria describes crystalline Dy2CdGa at its relaxed geometry. The functional is PBE.

Structure (CIF):
```
data_Dy2CdGa
_cell_length_a 3.624
_cell_length_b 3.624
_cell_length_c 7.441
_cell_angle_alpha 90.00
_cell_angle_beta 90.00
_cell_angle_gamma 90.00
_space_group_name_H-M_alt 'P 4/m m m'
_space_group_IT_number 123
_space_group_name_Hall '-P 4 2'
loop_
_atom_site_label
_atom_site_fract_x
_atom_site_fract_y
_atom_site_fract_z
Dy1 0.000 0.000 0.234
Cd1 0.500 0.500 0.500
Ga1 0.500 0.500 0.000
```

Calculated values
formation energy	-44.3	kJ per mole of atoms
V	98	Å³/cell
theoretical density	8.62	g/cm³
density of states at the Fermi level	2.41	states/eV/f.u.

***

Record 2
This record from Alexandria describes crystalline AlP4 at its relaxed geometry. The functional is PBE.

Structure (CIF):
```
data_AlP4
_cell_length_a 7.957
_cell_length_b 7.957
_cell_length_c 3.221
_cell_angle_alpha 90.00
_cell_angle_beta 90.00
_cell_angle_gamma 90.00
_space_group_name_H-M_alt 'I 4/m'
_space_group_IT_number 87
_space_group_name_Hall '-I 4'
loop_
_atom_site_label
_atom_site_fract_x
_atom_site_fract_y
_atom_site_fract_z
Al1 0.000 0.000 0.000
P1 0.161 0.728 0.000
```

Calculated values
formation energy	13.0	kJ per mole of atoms
V	204	Å³/cell
theoretical density	2.46	g/cm³
density of states at the Fermi level	1.96	states/eV/f.u.